1.
Crystalline PmAgBi4O8 at its relaxed geometry. Source: Alexandria, functional GGA-PBE.

Cell and atoms, written as POSCAR:
```
PmAgBi4O8
1.0
7.075 0.000 0.000
3.538 6.127 0.000
3.538 2.042 5.811
Bi O Pm Ag
4 8 1 1
Cartesian
3.538 4.059 2.905
1.791 1.034 2.905
7.075 4.085 0.768
5.284 1.034 2.905
5.332 5.092 1.665
10.613 6.127 4.094
8.819 5.092 1.665
3.538 2.042 1.484
5.247 3.029 4.220
7.075 2.072 1.665
8.904 3.029 4.220
7.075 6.196 4.220
7.075 4.085 4.998
10.613 6.127 0.061
```

Calculated values
The calculation puts the total energy at -81.8 eV per cell. Its space-group type is R3m, No. 160. The energy relative to the elements, uncorrected is -1.358 eV per atom.

=====

2.
Crystalline Pr3Zn2Co2 at its relaxed geometry. Source: Alexandria, functional GGA-PBE.

Cell and atoms, written as POSCAR:
```
Pr3Zn2Co2
1.0
-3.559 -1.331 -0.833
3.753 -1.715 -4.212
0.364 -4.907 6.290
Pr Co Zn
3 2 2
Cartesian
-0.771 -4.862 1.982
-1.779 -0.666 -0.417
1.329 -3.091 -0.737
1.120 -5.534 4.059
-0.562 -2.420 -2.814
0.195 -1.703 1.888
0.363 -6.250 -0.643
```

Calculated values
The formation energy comes out at -0.1975 eV per atom. The calculation puts the total energy at -32.5 eV per cell. Its space-group type is C2/m, No. 12.

=====

3.
Crystalline BaNiN at its relaxed geometry. Source: Alexandria, functional GGA-PBE.

Cell and atoms, written as POSCAR:
```
BaNiN
1.0
5.453 0.000 0.000
0.000 9.740 0.000
0.000 0.000 13.763
Ba Ni N
12 12 12
Cartesian
5.304 3.183 1.202
0.149 6.557 8.084
0.149 6.557 12.561
2.613 4.921 10.322
2.578 1.687 8.084
2.578 1.687 12.561
5.340 9.689 3.441
2.875 8.053 1.202
0.113 0.051 10.322
2.839 4.819 3.441
5.304 3.183 5.679
2.875 8.053 5.679
2.726 4.870 0.000
2.389 1.399 4.649
3.064 8.341 11.530
2.389 1.399 2.233
0.338 6.269 2.233
0.000 0.000 6.882
3.064 8.341 9.114
2.726 4.870 6.882
0.000 0.000 0.000
5.115 3.471 11.530
5.115 3.471 9.114
0.338 6.269 4.649
4.635 7.002 3.441
4.227 9.043 12.706
3.952 4.173 12.706
0.818 2.738 10.322
1.501 5.567 5.825
1.226 0.697 1.057
3.952 4.173 7.938
4.227 9.043 7.938
3.544 2.132 3.441
1.226 0.697 5.825
1.909 7.608 10.322
1.501 5.567 1.057
```

Calculated values
The calculation puts the total energy at -209.3 eV per cell. Its space-group type is Pnma, No. 62. The energy relative to the elements, uncorrected is -0.470 eV per atom.

=====

4.
Crystalline YBe3Ge3 at its relaxed geometry. Source: Alexandria, functional GGA-PBE.

Cell and atoms, written as POSCAR:
```
YBe3Ge3
1.0
-1.195 -5.721 -2.238
0.835 -2.410 5.715
-6.086 0.793 1.223
Be Ge Y
6 6 2
Cartesian
-2.119 -2.662 -0.813
-5.162 -2.266 -0.201
-0.479 -5.496 1.179
0.119 -2.635 2.298
-2.834 -0.206 2.040
-2.417 -1.411 4.898
-0.389 -3.463 0.310
0.029 -4.668 3.168
-3.940 -3.894 -1.067
-1.104 -1.007 3.163
-4.147 -0.610 3.775
-3.342 -1.034 0.052
-3.223 -3.669 2.350
0.000 0.000 0.000
```

Calculated values
The formation energy comes out at 0.1690 eV per atom. The calculation puts the total energy at -60.6 eV per cell. Its space-group type is Pm-3n, No. 223.

=====

| no. | total magnetic moment (Bohr magnetons per cell) | calculated volume (A^3/atom) |
| --- | --- | --- |
| 1 | 0.00 | 18.00 |
| 2 | 0.01 | 22.89 |
| 3 | 0.00 | 20.30 |
| 4 | 0.00 | 17.51 |